No. 1
{
  "formula": "CeTlI6",
  "functional": "PBE",
  "state": "optimized geometry",
  "cell": [[3.878, 2.239, 7.105], [-3.878, 2.239, 7.105], [0.000, -4.478, 7.105]],
  "species": ["Ce", "Tl", "I", "I", "I", "I", "I", "I"],
  "fractional_positions": [[0.000, 0.000, 0.000], [0.500, 0.500, 0.500], [0.064, 0.767, 0.411], [0.233, 0.589, 0.936], [0.411, 0.064, 0.767], [0.589, 0.936, 0.233], [0.767, 0.411, 0.064], [0.936, 0.233, 0.589]],
  "polymorph_energy_ev_per_atom": 0.003,
  "dft_energy_ev_per_atom": -2.997,
  "crystal_system": "trigonal"
}


No. 2
{
  "formula": "Ce2Tl2I7",
  "functional": "PBE",
  "state": "optimized geometry",
  "cell": [[6.881, -4.802, 0.000], [6.881, 4.802, 0.000], [-0.255, 0.000, 8.034]],
  "species": ["Ce", "Ce", "Tl", "Tl", "I", "I", "I", "I", "I", "I", "I"],
  "fractional_positions": [[0.237, 0.237, 0.040], [0.763, 0.763, 0.960], [0.242, 0.758, 0.500], [0.758, 0.242, 0.500], [0.000, 0.000, 0.000], [0.073, 0.505, 0.749], [0.438, 0.438, 0.243], [0.495, 0.927, 0.251], [0.505, 0.073, 0.749], [0.562, 0.562, 0.757], [0.927, 0.495, 0.251]],
  "dft_energy_ev_per_atom": -3.501,
  "crystal_system": "monoclinic"
}